No. 1
Here is HfFe3H at its PBEsol-relaxed geometry from Alexandria via LeMat-Bulk. Energies are from SCAN.

Geometry as POSCAR:
```
HfFe3H
1.0
3.748 0.000 0.000
0.000 3.748 0.000
0.000 0.000 3.748
Hf Fe H
1 3 1
direct
0.000 0.000 0.000
0.000 0.500 0.500
0.500 0.000 0.500
0.500 0.500 0.000
0.500 0.500 0.500
```

Values from the calculation:
Space group ... No. 221
Total energy ... -24.119 eV/atom


No. 2
Here is NbPdAu2 at its PBEsol-relaxed geometry from Alexandria via LeMat-Bulk. Energies are from SCAN.

Geometry as POSCAR:
```
NbPdAu2
1.0
0.000 3.201 3.201
3.201 0.000 3.201
3.201 3.201 0.000
Nb Pd Au
1 1 2
direct
0.000 0.000 0.000
0.500 0.500 0.500
0.250 0.250 0.250
0.750 0.750 0.750
```

Values from the calculation:
Energy of formation ... -0.229 eV/atom
Space group ... No. 225
Total energy ... -51.284 eV/atom


No. 3
Here is Te7Pd20 at its PBEsol-relaxed geometry from Alexandria via LeMat-Bulk. Energies are from SCAN.

Geometry as POSCAR:
```
Te7Pd20
1.0
5.909 3.411 3.707
-5.909 3.411 3.707
0.000 -6.823 3.707
Te Pd
7 20
direct
0.000 0.000 0.000
0.119 0.278 0.545
0.278 0.545 0.119
0.455 0.881 0.722
0.545 0.119 0.278
0.722 0.455 0.881
0.881 0.722 0.455
0.007 0.334 0.222
0.013 0.315 0.857
0.143 0.987 0.685
0.219 0.676 0.460
0.222 0.007 0.334
0.315 0.857 0.013
0.324 0.540 0.781
0.334 0.222 0.007
0.379 0.379 0.379
0.460 0.219 0.676
0.540 0.781 0.324
0.621 0.621 0.621
0.666 0.778 0.993
0.676 0.460 0.219
0.685 0.143 0.987
0.778 0.993 0.666
0.781 0.324 0.540
0.857 0.013 0.315
0.987 0.685 0.143
0.993 0.666 0.778
```

Values from the calculation:
Space group ... No. 148
Total energy ... -34.281 eV/atom
E_form (uncorrected) ... -346 meV per atom


No. 4
Here is Al4Ag at its PBEsol-relaxed geometry from Alexandria via LeMat-Bulk. Energies are from SCAN.

Geometry as POSCAR:
```
Al4Ag
1.0
-1.418 2.023 7.089
1.418 -2.023 7.089
1.418 2.023 -7.089
Al Ag
4 1
direct
0.101 0.101 0.000
0.298 0.298 0.000
0.702 0.702 0.000
0.899 0.899 0.000
0.500 0.500 0.000
```

Values from the calculation:
Energy of formation ... -0.003 eV/atom
Space group ... No. 71
Total energy ... -12.478 eV/atom


No. 5
Here is SrLa2ZnSe at its PBEsol-relaxed geometry from Alexandria via LeMat-Bulk. Energies are from SCAN.

Geometry as POSCAR:
```
SrLa2ZnSe
1.0
5.623 0.000 0.000
0.000 5.623 0.000
0.000 0.000 5.690
Sr La Zn Se
1 2 1 1
direct
0.000 0.000 0.000
0.000 0.500 0.500
0.500 0.000 0.500
0.500 0.500 0.000
0.000 0.000 0.500
```

Values from the calculation:
Space group ... No. 123
Total energy ... -28.943 eV/atom
E_form (uncorrected) ... -527 meV per atom


No. 6
Here is ZrHg2Pb at its PBEsol-relaxed geometry from Alexandria via LeMat-Bulk. Energies are from SCAN.

Geometry as POSCAR:
```
ZrHg2Pb
1.0
-1.603 2.640 5.428
1.603 -2.640 5.428
1.603 2.640 -5.428
Zr Hg Pb
1 2 1
direct
0.000 0.000 0.000
0.235 0.735 0.500
0.765 0.265 0.500
0.500 0.500 0.000
```

Values from the calculation:
Energy of formation ... -0.139 eV/atom
Space group ... No. 71
Total energy ... -60.842 eV/atom


No. 7
Here is SrTaIr at its PBEsol-relaxed geometry from Alexandria via LeMat-Bulk. Energies are from SCAN.

Geometry as POSCAR:
```
SrTaIr
1.0
4.225 0.000 0.000
-2.112 3.659 0.000
0.000 0.000 5.024
Sr Ta Ir
1 1 1
direct
0.000 0.000 0.000
0.333 0.667 0.489
0.667 0.333 0.545
```

Values from the calculation:
Energy of formation ... -0.054 eV/atom
Space group ... No. 156
Total energy ... -53.374 eV/atom


No. 8
Here is La3HgN at its PBEsol-relaxed geometry from Alexandria via LeMat-Bulk. Energies are from SCAN.

Geometry as POSCAR:
```
La3HgN
1.0
5.002 -4.998 0.000
5.002 4.998 0.000
-4.983 0.000 5.085
La Hg N
6 2 2
direct
0.204 0.796 0.000
0.259 0.741 0.500
0.287 0.287 0.981
0.713 0.713 0.019
0.741 0.259 0.500
0.796 0.204 0.000
0.253 0.253 0.499
0.747 0.747 0.501
0.000 0.500 0.000
0.500 0.000 0.000
```

Values from the calculation:
Space group ... No. 12
Total energy ... -42.387 eV/atom
E_form (uncorrected) ... -1033 meV per atom


No. 9
Here is BaSnF2 at its PBEsol-relaxed geometry from Alexandria via LeMat-Bulk. Energies are from SCAN.

Geometry as POSCAR:
```
BaSnF2
1.0
1.957 1.130 8.541
-1.957 1.130 8.541
0.000 -2.259 8.541
Ba Sn F
1 1 2
direct
0.000 0.000 0.000
0.500 0.500 0.500
0.288 0.288 0.288
0.712 0.712 0.712
```

Values from the calculation:
Space group ... No. 166
Total energy ... -23.073 eV/atom
E_form (uncorrected) ... -2435 meV per atom


No. 10
Here is Ta2TlTc at its PBEsol-relaxed geometry from Alexandria via LeMat-Bulk. Energies are from SCAN.

Geometry as POSCAR:
```
Ta2TlTc
1.0
1.535 0.886 8.969
-1.535 0.886 8.969
0.000 -1.772 8.969
Ta Tl Tc
2 1 1
direct
0.000 0.000 0.000
0.250 0.250 0.250
0.759 0.759 0.759
0.513 0.513 0.513
```

Values from the calculation:
Energy of formation ... 0.311 eV/atom
Space group ... No. 160
Total energy ... -59.835 eV/atom


No. 11
Here is Zr2PtPb at its PBEsol-relaxed geometry from Alexandria via LeMat-Bulk. Energies are from SCAN.

Geometry as POSCAR:
```
Zr2PtPb
1.0
-2.040 2.040 4.834
2.040 -2.040 4.834
2.040 2.040 -4.834
Zr Pt Pb
2 1 1
direct
0.000 0.000 0.000
0.750 0.250 0.500
0.250 0.750 0.500
0.500 0.500 0.000
```

Values from the calculation:
Energy of formation ... -0.618 eV/atom
Space group ... No. 119
Total energy ... -52.461 eV/atom


No. 12
Here is NiP at its PBEsol-relaxed geometry from Alexandria via LeMat-Bulk. Energies are from SCAN.

Geometry as POSCAR:
```
NiP
1.0
4.826 0.000 0.000
0.000 3.404 0.000
0.000 0.000 5.887
Ni P
4 4
direct
0.002 0.250 0.244
0.498 0.750 0.744
0.502 0.250 0.256
0.998 0.750 0.756
0.243 0.250 0.584
0.257 0.750 0.084
0.743 0.250 0.916
0.757 0.750 0.416
```

Values from the calculation:
Energy of formation ... -0.419 eV/atom
Space group ... No. 62
Total energy ... -13.705 eV/atom


No. 13
Here is Zn3FeIr at its PBEsol-relaxed geometry from Alexandria via LeMat-Bulk. Energies are from SCAN.

Geometry as POSCAR:
```
Zn3FeIr
1.0
4.327 0.000 0.000
0.000 4.327 0.000
0.000 0.000 4.327
Zn Fe Ir
3 1 1
direct
0.000 0.000 0.500
0.000 0.500 0.000
0.500 0.000 0.000
0.000 0.000 0.000
0.500 0.500 0.500
```

Values from the calculation:
Energy of formation ... 1.087 eV/atom
Space group ... No. 221
Total energy ... -24.868 eV/atom


No. 14
Here is BaNiIr2 at its PBEsol-relaxed geometry from Alexandria via LeMat-Bulk. Energies are from SCAN.

Geometry as POSCAR:
```
BaNiIr2
1.0
2.892 0.000 0.000
0.000 4.718 0.000
0.000 0.000 5.170
Ba Ni Ir
1 1 2
direct
0.000 0.000 0.000
0.500 0.500 0.000
0.000 0.500 0.500
0.500 0.000 0.500
```

Values from the calculation:
Energy of formation ... 0.843 eV/atom
Space group ... No. 47
Total energy ... -48.637 eV/atom


No. 15
Here is CoAsOs2 at its PBEsol-relaxed geometry from Alexandria via LeMat-Bulk. Energies are from SCAN.

Geometry as POSCAR:
```
CoAsOs2
1.0
1.360 -2.304 0.000
1.360 2.304 0.000
0.000 0.000 9.029
Co As Os
1 1 2
direct
0.000 0.000 0.000
0.000 0.000 0.500
0.500 0.500 0.230
0.500 0.500 0.770
```

Values from the calculation:
Energy of formation ... 0.674 eV/atom
Space group ... No. 65
Total energy ... -44.640 eV/atom


No. 16
Here is Ag5Pb at its PBEsol-relaxed geometry from Alexandria via LeMat-Bulk. Energies are from SCAN.

Geometry as POSCAR:
```
Ag5Pb
1.0
5.124 0.000 0.000
-2.562 4.437 0.000
0.000 0.000 4.796
Ag Pb
5 1
direct
0.000 0.648 0.000
0.333 0.667 0.500
0.352 0.352 0.000
0.648 0.000 0.000
0.667 0.333 0.500
0.000 0.000 0.500
```

Values from the calculation:
Energy of formation ... 0.073 eV/atom
Space group ... No. 189
Total energy ... -38.696 eV/atom


No. 17
Here is CrN3Cl at its PBEsol-relaxed geometry from Alexandria via LeMat-Bulk. Energies are from SCAN.

Geometry as POSCAR:
```
CrN3Cl
1.0
3.767 0.000 0.000
0.000 3.767 0.000
0.000 0.000 3.767
Cr N Cl
1 3 1
direct
0.000 0.000 0.000
0.000 0.000 0.500
0.000 0.500 0.000
0.500 0.000 0.000
0.500 0.500 0.500
```

Values from the calculation:
Space group ... No. 221
Total energy ... -9.759 eV/atom
E_form (uncorrected) ... 1088 meV per atom


No. 18
Here is Zn2Cr3GaSe8 at its PBEsol-relaxed geometry from Alexandria via LeMat-Bulk. Energies are from SCAN.

Geometry as POSCAR:
```
Zn2Cr3GaSe8
1.0
3.697 2.135 6.055
-3.697 2.135 6.055
0.000 -4.269 6.055
Zn Cr Ga Se
2 3 1 8
direct
0.124 0.124 0.124
0.876 0.876 0.876
0.000 0.500 0.500
0.500 0.000 0.500
0.500 0.500 0.000
0.500 0.500 0.500
0.256 0.256 0.721
0.256 0.721 0.256
0.260 0.260 0.260
0.279 0.744 0.744
0.721 0.256 0.256
0.740 0.740 0.740
0.744 0.279 0.744
0.744 0.744 0.279
```

Values from the calculation:
Space group ... No. 166
Total energy ... -19.319 eV/atom
E_form (uncorrected) ... -808 meV per atom


No. 19
Here is BaRh3 at its PBEsol-relaxed geometry from Alexandria via LeMat-Bulk. Energies are from SCAN.

Geometry as POSCAR:
```
BaRh3
1.0
2.913 0.000 0.000
0.000 4.267 0.000
0.000 0.000 6.262
Ba Rh
1 3
direct
0.000 0.000 0.000
0.000 0.500 0.378
0.500 0.000 0.481
0.500 0.500 0.713
```

Values from the calculation:
Energy of formation ... 0.361 eV/atom
Space group ... No. 25
Total energy ... -34.855 eV/atom


No. 20
Here is TiCo3 at its PBEsol-relaxed geometry from Alexandria via LeMat-Bulk. Energies are from SCAN.

Geometry as POSCAR:
```
TiCo3
1.0
5.025 0.000 0.000
-2.512 4.352 0.000
0.000 0.000 4.018
Ti Co
2 6
direct
0.333 0.667 0.250
0.667 0.333 0.750
0.161 0.321 0.750
0.161 0.839 0.750
0.321 0.161 0.250
0.679 0.839 0.750
0.839 0.161 0.250
0.839 0.679 0.250
```

Values from the calculation:
Energy of formation ... -0.069 eV/atom
Space group ... No. 194
Total energy ... -17.055 eV/atom